8
Lattice="4.078 0.000 0.000 0.000 4.720 0.000 0.000 0.000 4.744" Properties=species:S:1:pos:R:3 comment="MnCr PBE optimized geometry" crystal_system=orthorhombic total_energy_ev_per_atom=-9.21 formation_enthalpy_0k_ev_per_atom=0.184 pbc="T T T"
Mn 3.059 4.256 1.753
Cr 3.059 1.750 2.821
Mn 3.059 1.896 0.620
Cr 3.059 4.110 4.296
Cr 1.020 0.610 0.449
Cr 1.020 2.970 1.923
Mn 1.020 0.464 2.992
Mn 1.020 2.824 4.125